Here is Mg3Se5 at its PBEsol-relaxed geometry from Alexandria via LeMat-Bulk. Energies are from meta-GGA SCAN.

abc: 3.630 3.630 13.041
angles: 90.00 90.00 90.00
Atoms (fractional coordinates):
Mg1 0.000 0.000 0.000
Mg2 0.500 0.500 0.361
Mg3 0.500 0.500 0.639
Se1 0.000 0.000 0.291
Se2 0.000 0.000 0.500
Se3 0.000 0.000 0.709
Se4 0.500 0.500 0.096
Se5 0.500 0.500 0.904

Calculated values
formation energy without anion corrections	-0.690	eV per atom
SG	P4/mmm
magnetization	0.00	Bohr magnetons per cell

---

Here is AlTcMo2 at its PBEsol-relaxed geometry from Alexandria via LeMat-Bulk. Energies are from meta-GGA SCAN.

abc: 5.130 5.130 5.130
angles: 138.44 138.44 60.23
Atoms (fractional coordinates):
Al1 0.000 0.000 0.000
Tc1 0.250 0.750 0.500
Mo1 0.500 0.500 0.000
Mo2 0.750 0.250 0.500

Calculated values
SG	I-4m2
calculated total energy	-28.209	eV/atom
magnetization	0.00	Bohr magnetons per cell

---

Here is YBeSN2 at its PBEsol-relaxed geometry from Alexandria via LeMat-Bulk. Energies are from meta-GGA SCAN.

abc: 3.670 3.670 4.450
angles: 90.00 90.00 90.00
Atoms (fractional coordinates):
Y1 0.000 0.000 0.000
Be1 0.500 0.500 0.500
S1 0.500 0.500 0.000
N1 0.000 0.500 0.500
N2 0.500 0.000 0.500

Calculated values
formation energy without anion corrections	-0.136	eV per atom
SG	P4/mmm
magnetization	0.00	Bohr magnetons per cell

---

Here is BaMgCdF2 at its PBEsol-relaxed geometry from Alexandria via LeMat-Bulk. Energies are from meta-GGA SCAN.

abc: 4.845 4.845 8.143
angles: 90.00 90.00 90.00
Atoms (fractional coordinates):
Ba1 0.000 0.000 0.000
Mg1 0.000 0.000 0.500
Cd1 0.500 0.500 0.500
F1 0.000 0.500 0.000
F2 0.500 0.000 0.000

Calculated values
formation energy without anion corrections	-1.737	eV per atom
SG	P4/mmm
magnetization	0.00	Bohr magnetons per cell

---

Here is Ba2ScCo at its PBEsol-relaxed geometry from Alexandria via LeMat-Bulk. Energies are from meta-GGA SCAN.

abc: 3.637 3.637 9.346
angles: 90.00 90.00 90.00
Atoms (fractional coordinates):
Ba1 0.000 0.000 0.194
Ba2 0.000 0.000 0.806
Sc1 0.500 0.500 0.500
Co1 0.500 0.500 0.000

Calculated values
energy above the most stable polymorph in this dataset	0.00	eV per formula unit
SG	P4/mmm
magnetization	2.52	Bohr magnetons per cell

---

Here is ScNi2Mo at its PBEsol-relaxed geometry from Alexandria via LeMat-Bulk. Energies are from meta-GGA SCAN.

abc: 8.527 8.527 8.527
angles: 18.73 18.73 18.73
Atoms (fractional coordinates):
Sc1 0.000 0.000 0.000
Ni1 0.248 0.248 0.248
Ni2 0.752 0.752 0.752
Mo1 0.500 0.500 0.500

Calculated values
energy above the most stable polymorph in this dataset	0.96	eV per formula unit
SG	R-3m
magnetization	0.00	Bohr magnetons per cell

---

Here is K5Ti3F14 at its PBEsol-relaxed geometry from Alexandria via LeMat-Bulk. Energies are from meta-GGA SCAN.

abc: 7.788 7.788 11.606
angles: 90.00 90.00 90.00
Atoms (fractional coordinates):
K1 0.000 0.000 0.000
K2 0.228 0.272 0.250
K3 0.228 0.272 0.750
K4 0.272 0.772 0.250
K5 0.272 0.772 0.750
K6 0.500 0.500 0.500
K7 0.728 0.228 0.250
K8 0.728 0.228 0.750
K9 0.772 0.728 0.250
K10 0.772 0.728 0.750
Ti1 0.000 0.000 0.500
Ti2 0.000 0.500 0.000
Ti3 0.000 0.500 0.500
Ti4 0.500 0.000 0.000
Ti5 0.500 0.000 0.500
Ti6 0.500 0.500 0.000
F1 0.000 0.000 0.330
F2 0.000 0.000 0.670
F3 0.029 0.680 0.115
F4 0.029 0.680 0.885
F5 0.045 0.249 0.500
F6 0.180 0.529 0.385
F7 0.180 0.529 0.615
F8 0.249 0.955 0.500
F9 0.251 0.455 0.000
F10 0.320 0.029 0.115
F11 0.320 0.029 0.885
F12 0.455 0.749 0.000
F13 0.471 0.180 0.385
F14 0.471 0.180 0.615
F15 0.500 0.500 0.170
F16 0.500 0.500 0.830
F17 0.529 0.820 0.385
F18 0.529 0.820 0.615
F19 0.545 0.251 0.000
F20 0.680 0.971 0.115
F21 0.680 0.971 0.885
F22 0.749 0.545 0.000
F23 0.751 0.045 0.500
F24 0.820 0.471 0.385
F25 0.820 0.471 0.615
F26 0.955 0.751 0.500
F27 0.971 0.320 0.115
F28 0.971 0.320 0.885

Calculated values
formation energy without anion corrections	-3.384	eV per atom
SG	P4/mnc
magnetization	6.00	Bohr magnetons per cell

---

Here is TbTa3O9 at its PBEsol-relaxed geometry from Alexandria via LeMat-Bulk. Energies are from meta-GGA SCAN.

abc: 8.741 8.741 9.613
angles: 123.14 123.14 36.74
Atoms (fractional coordinates):
Tb1 0.179 0.179 0.003
Tb2 0.821 0.821 0.997
Ta1 0.083 0.083 0.246
Ta2 0.248 0.248 0.736
Ta3 0.424 0.424 0.257
Ta4 0.576 0.576 0.743
Ta5 0.752 0.752 0.264
Ta6 0.917 0.917 0.754
O1 0.000 0.000 0.000
O2 0.072 0.573 0.217
O3 0.073 0.597 0.773
O4 0.164 0.164 0.496
O5 0.227 0.750 0.226
O6 0.250 0.773 0.774
O7 0.323 0.323 0.999
O8 0.403 0.927 0.227
O9 0.427 0.928 0.783
O10 0.500 0.500 0.500
O11 0.573 0.072 0.217
O12 0.597 0.073 0.773
O13 0.677 0.677 0.001
O14 0.750 0.227 0.226
O15 0.773 0.250 0.774
O16 0.836 0.836 0.504
O17 0.927 0.403 0.227
O18 0.928 0.427 0.783

Calculated values
formation energy without anion corrections	-3.213	eV per atom
SG	C2/m
magnetization	0.00	Bohr magnetons per cell

---

Here is TcPbC3 at its PBEsol-relaxed geometry from Alexandria via LeMat-Bulk. Energies are from meta-GGA SCAN.

abc: 4.280 4.280 4.280
angles: 90.00 90.00 90.00
Atoms (fractional coordinates):
Tc1 0.000 0.000 0.000
Pb1 0.500 0.500 0.500
C1 0.000 0.500 0.500
C2 0.500 0.000 0.500
C3 0.500 0.500 0.000

Calculated values
energy above the most stable polymorph in this dataset	9.87	eV per formula unit
SG	Pm-3m
magnetization	1.34	Bohr magnetons per cell

---

Here is BaP2Cl at its PBEsol-relaxed geometry from Alexandria via LeMat-Bulk. Energies are from meta-GGA SCAN.

abc: 3.532 6.259 4.954
angles: 90.00 91.15 90.00
Atoms (fractional coordinates):
Ba1 0.000 0.000 0.000
P1 0.244 0.500 0.861
P2 0.756 0.500 0.139
Cl1 0.500 0.000 0.500

Calculated values
formation energy without anion corrections	-1.064	eV per atom
energy above the most stable polymorph in this dataset	0.00	eV per formula unit
SG	P2/m
magnetization	0.00	Bohr magnetons per cell

---

Here is Ca2OsBr at its PBEsol-relaxed geometry from Alexandria via LeMat-Bulk. Energies are from meta-GGA SCAN.

abc: 4.905 4.905 4.905
angles: 60.00 60.00 60.00
Atoms (fractional coordinates):
Ca1 0.000 0.000 0.000
Ca2 0.250 0.250 0.250
Os1 0.500 0.500 0.500
Br1 0.750 0.750 0.750

Calculated values
formation energy without anion corrections	0.506	eV per atom
energy above the most stable polymorph in this dataset	3.83	eV per formula unit
SG	F-43m
magnetization	0.00	Bohr magnetons per cell

---

Here is KOs2Au at its PBEsol-relaxed geometry from Alexandria via LeMat-Bulk. Energies are from meta-GGA SCAN.

abc: 4.579 4.579 4.579
angles: 60.00 60.00 60.00
Atoms (fractional coordinates):
K1 0.000 0.000 0.000
Os1 0.250 0.250 0.250
Os2 0.750 0.750 0.750
Au1 0.500 0.500 0.500

Calculated values
energy above the most stable polymorph in this dataset	3.08	eV per formula unit
SG	Fm-3m
magnetization	3.34	Bohr magnetons per cell